Density functional theory data (GGA+U) for a relaxed K4MnO5 crystal.

Geometry as extended XYZ:
```
10
Lattice="-4.046 4.046 2.777 4.046 -4.046 2.777 4.046 4.046 -2.777" Properties=species:S:1:pos:R:3 pbc="T T T"
K 2.358 0.815 0.000
K 3.231 -1.688 2.777
K 0.815 5.734 0.000
K 1.688 3.231 2.777
Mn 0.000 0.000 3.085
O 4.575 2.300 -0.111
O 2.300 3.517 -0.111
O 1.746 0.529 2.666
O -0.529 1.746 2.666
O 0.000 0.000 4.825
```

## Properties
Size of the total moment = 0.100 μB/atom
Density of states at the Fermi level = 0.7025 states/eV per atom
Calculated total energy = -4.866 eV/atom